No. 1
Material: ScCuRe
Method: DFT, GGA-PBE
State: optimized geometry

Structure (CIF):
```
data_ScCuRe
_chemical_formula_sum 'Sc1 Cu1 Re1'
_cell_length_a 4.5314
_cell_length_b 4.5314
_cell_length_c 2.7149
_cell_angle_alpha 90.00
_cell_angle_beta 90.00
_cell_angle_gamma 120.00
_symmetry_space_group_name_H-M 'P 3 m 1'
_symmetry_Int_Tables_number 156
loop_
_symmetry_equiv_pos_as_xyz
'x,y,z'
'-y,x-y,z'
'-x+y,-x,z'
'-y,-x,z'
'-x+y,y,z'
'x,x-y,z'
loop_
_atom_site_label
_atom_site_type_symbol
_atom_site_fract_x
_atom_site_fract_y
_atom_site_fract_z
Sc1 Sc 0.0000 0.0000 0.0000
Cu1 Cu 0.6667 0.3333 0.5041
Re1 Re 0.3333 0.6667 0.4979
```

Properties
VASP energy = -7.4231 eV/atom
magnetic moment = 0.00 μB/atom
calculated volume = 48.28 Å³ per cell
ΔE_f = 0.202 eV per atom

No. 2
Material: Sc2CuRe
Method: DFT, GGA-PBE
State: optimized geometry

Structure (CIF):
```
data_Sc2CuRe
_chemical_formula_sum 'Sc4 Cu2 Re2'
_cell_length_a 3.444
_cell_length_b 4.410
_cell_length_c 9.145
_cell_angle_alpha 90.00
_cell_angle_beta 90.00
_cell_angle_gamma 90.00
_symmetry_space_group_name_H-M 'I m m 2'
_symmetry_Int_Tables_number 44
loop_
_symmetry_equiv_pos_as_xyz
'x,y,z'
'-x,-y,z'
'-x,y,z'
'x,-y,z'
'x+1/2,y+1/2,z+1/2'
'-x+1/2,-y+1/2,z+1/2'
'-x+1/2,y+1/2,z+1/2'
'x+1/2,-y+1/2,z+1/2'
loop_
_atom_site_label
_atom_site_type_symbol
_atom_site_fract_x
_atom_site_fract_y
_atom_site_fract_z
Sc1 Sc 0.000 0.000 0.000
Sc2 Sc 0.000 0.500 0.222
Cu1 Cu 0.000 0.500 0.752
Re1 Re 0.000 0.000 0.472
```

Properties
VASP energy = -7.3052 eV/atom
magnetic moment = 0.00 μB/atom
calculated volume = 138.91 Å³ per cell
ΔE_f = -0.003 eV per atom

No. 3
Material: ScCuRe
Method: DFT, GGA-PBE
State: optimized geometry

Structure (CIF):
```
data_ScCuRe
_chemical_formula_sum 'Sc4 Cu4 Re4'
_cell_length_a 6.149
_cell_length_b 6.149
_cell_length_c 6.149
_cell_angle_alpha 90.00
_cell_angle_beta 90.00
_cell_angle_gamma 90.00
_symmetry_space_group_name_H-M 'F -4 3 m'
_symmetry_Int_Tables_number 216
_symmetry_space_group_name_Hall 'F -4 2 3'
loop_
_atom_site_label
_atom_site_type_symbol
_atom_site_fract_x
_atom_site_fract_y
_atom_site_fract_z
Sc1 Sc 0.000 0.000 0.000
Cu1 Cu 0.250 0.250 0.750
Re1 Re 0.250 0.250 0.250
```

Properties
VASP energy = -6.3645 eV/atom
magnetic moment = 0.55 μB/atom
calculated volume = 232.49 Å³ per cell
ΔE_f = 1.261 eV per atom